1.
Below is a geometry-optimized ErAl2Ni6 structure, with properties calculated at the PBE-GGA level.

Lattice parameters (Å, degrees): 2.8236 7.2907 7.2907 55.71 78.83 78.83
Fractional positions:
Er1 0.0000 0.0000 0.0000
Al1 0.8545 0.6455 0.6455
Al2 0.1455 0.3545 0.3545
Ni1 0.6784 0.0080 0.6353
Ni2 0.3216 0.9920 0.3647
Ni3 0.3216 0.3647 0.9920
Ni4 0.5000 0.6683 0.3317
Ni5 0.5000 0.3317 0.6683
Ni6 0.6784 0.6353 0.0080

DOS at the Fermi energy (states/eV/f.u.): 8.85
Energy relative to the elements (eV/atom): -0.231
Space group: No. 71

2.
Below is a geometry-optimized NaLi2Ta structure, with properties calculated at the PBE-GGA level.

Lattice parameters (Å, degrees): 7.1165 7.1165 5.8784 52.75 52.75 90.00
Site moments in Bohr magnetons follow the coordinates.
Fractional positions:
Na1 0.5000 0.5000 0.0000  0.00
Na2 0.2500 0.7500 0.5000  0.01
Li1 0.6069 0.1250 0.2500  0.03
Li2 0.1431 0.6250 0.2500  0.02
Li3 0.3750 0.3931 0.7500  0.03
Li4 0.8750 0.8569 0.7500  0.02
Ta1 0.0000 0.0000 0.0000  0.74
Ta2 0.7500 0.2500 0.5000  0.75

DOS at the Fermi energy (states/eV/f.u.): 4.32
Energy relative to the elements (eV/atom): 1.116
Space group: No. 122

3.
Below is a geometry-optimized CaMg2Ta structure, with properties calculated at the PBE-GGA level.

Lattice parameters (Å, degrees): 3.1733 5.3140 5.3140 90.00 90.00 90.00
Site moments in Bohr magnetons follow the coordinates.
Fractional positions:
Ca1 0.5000 0.0000 0.5000  -0.01
Mg1 0.0000 0.0000 0.0000  0.00
Mg2 0.0000 0.5000 0.5000  0.00
Ta1 0.5000 0.5000 0.0000  0.11

DOS at the Fermi energy (states/eV/f.u.): 3.65
Energy relative to the elements (eV/atom): 0.448
Space group: No. 123

4.
Below is a geometry-optimized NaPu2SnSe4 structure, with properties calculated at the PBE-GGA level.

Lattice parameters (Å, degrees): 4.2411 7.4146 7.3719 70.56 90.00 90.00
Site moments in Bohr magnetons follow the coordinates.
Fractional positions:
Na1 0.5000 0.5000 0.0000  0.00
Pu1 0.0000 0.0000 0.0000  5.34
Pu2 0.5000 0.0000 0.5000  -5.27
Sn1 0.0000 0.5000 0.5000  0.00
Se1 0.0000 0.7645 0.7427  0.03
Se2 0.0000 0.2355 0.2573  0.03
Se3 0.5000 0.7640 0.2434  -0.02
Se4 0.5000 0.2360 0.7565  -0.02

Raw formation energy (eV per atom): -1.14
DOS at the Fermi energy (states/eV/f.u.): 28.03
Space group: No. 10

5.
Below is a geometry-optimized K4Np3AgTe8 structure, with properties calculated at the PBE-GGA level.

Lattice parameters (Å, degrees): 9.0366 9.6846 9.0374 117.82 120.00 90.00
Site moments in Bohr magnetons follow the coordinates.
Fractional positions:
K1 0.5000 0.0000 0.0000  -0.01
K2 0.5000 0.0000 0.5000  0.00
K3 0.0000 0.0000 0.0000  0.00
K4 0.0000 0.0000 0.5000  0.00
Np1 0.5000 0.5000 0.0000  3.74
Np2 0.5000 0.5000 0.5000  3.74
Np3 0.0000 0.5000 0.5000  3.74
Ag1 0.0000 0.5000 0.0000  -0.05
Te1 0.2366 0.7038 0.9672  -0.12
Te2 0.2367 0.7039 0.4735  -0.12
Te3 0.2633 0.2900 0.5266  -0.10
Te4 0.7306 0.7038 0.9672  -0.12
Te5 0.2694 0.2962 0.0328  -0.12
Te6 0.7367 0.7100 0.4734  -0.10
Te7 0.7633 0.2961 0.5265  -0.12
Te8 0.7634 0.2962 0.0328  -0.12

Raw formation energy (eV per atom): -0.78
DOS at the Fermi energy (states/eV/f.u.): 29.14
Space group: No. 166

6.
Below is a geometry-optimized Th2AlGaIr6 structure, with properties calculated at the PBE-GGA level.

Lattice parameters (Å, degrees): 5.5999 8.2884 8.2918 39.45 70.27 90.00
Fractional positions:
Th1 0.2914 0.7080 0.4172
Th2 0.7086 0.2920 0.5828
Al1 0.5000 0.5000 0.0000
Ga1 0.0000 0.0000 0.0000
Ir1 0.2488 0.7528 0.9939
Ir2 0.7575 0.7528 0.9938
Ir3 0.2488 0.2456 0.5025
Ir4 0.7512 0.2472 0.0061
Ir5 0.2425 0.2472 0.0062
Ir6 0.7512 0.7544 0.4975

DOS at the Fermi energy (states/eV/f.u.): 3.30
Energy relative to the elements (eV/atom): -0.437
Space group: No. 12

7.
Below is a geometry-optimized Re3OsN structure, with properties calculated at the PBE-GGA level.

Lattice parameters (Å, degrees): 4.0450 4.0450 4.0450 90.00 90.00 90.00
Fractional positions:
Re1 0.0000 0.5000 0.0000
Re2 0.0000 0.0000 0.5000
Re3 0.5000 0.0000 0.0000
Os1 0.5000 0.5000 0.5000
N1 0.0000 0.0000 0.0000

Raw formation energy (eV per atom): 0.30
DOS at the Fermi energy (states/eV/f.u.): 3.86
Space group: No. 221

8.
Below is a geometry-optimized Ce5Pa2 structure, with properties calculated at the PBE-GGA level.

Lattice parameters (Å, degrees): 5.2612 5.2612 8.3430 71.62 71.62 60.00
Fractional positions:
Ce1 0.0826 0.0826 0.7521
Ce2 0.7570 0.7570 0.7289
Ce3 0.5000 0.5000 0.5000
Ce4 0.2430 0.2430 0.2711
Ce5 0.9174 0.9174 0.2479
Pa1 0.6387 0.6387 0.0839
Pa2 0.3613 0.3613 0.9161

DOS at the Fermi energy (states/eV/f.u.): 23.93
Energy relative to the elements (eV/atom): 0.170
Space group: No. 166

9.
Below is a geometry-optimized CoAs2Ru structure, with properties calculated at the PBE-GGA level.

Lattice parameters (Å, degrees): 4.3772 4.3772 4.3772 60.00 60.00 60.00
Site moments in Bohr magnetons follow the coordinates.
Fractional positions:
As1 0.0000 0.0000 0.0000  0.03
As2 0.2500 0.2500 0.2500  0.03
Co1 0.5000 0.5000 0.5000  1.48
Ru1 0.7500 0.7500 0.7500  0.60

DOS at the Fermi energy (states/eV/f.u.): 6.36
Energy relative to the elements (eV/atom): 0.485
Space group: No. 216

10.
Below is a geometry-optimized KTa3H structure, with properties calculated at the PBE-GGA level.

Lattice parameters (Å, degrees): 4.4103 4.4103 4.4103 90.00 90.00 90.00
Fractional positions:
H1 0.0000 0.0000 0.0000
K1 0.5000 0.5000 0.5000
Ta1 0.0000 0.5000 0.0000
Ta2 0.0000 0.0000 0.5000
Ta3 0.5000 0.0000 0.0000

DOS at the Fermi energy (states/eV/f.u.): 7.33
Space group: No. 221

11.
Below is a geometry-optimized LiTlF structure, with properties calculated at the PBE-GGA level.

Lattice parameters (Å, degrees): 3.1305 5.4360 8.4242 90.13 90.20 89.95
Fractional positions:
Li1 0.9367 0.8519 0.3631
Li2 0.4360 0.3518 0.3472
Tl1 0.9334 0.2735 0.7663
Tl2 0.4344 0.7740 0.9440
F1 0.4369 0.6855 0.3476
F2 0.9364 0.1855 0.3627

Raw formation energy (eV per atom): -1.77
DOS at the Fermi energy (states/eV/f.u.): 0.50
Space group: No. 1

12.
Below is a geometry-optimized UHS structure, with properties calculated at the PBE-GGA level.

Lattice parameters (Å, degrees): 3.3375 3.3375 4.8236 110.24 110.24 90.00
Site moments in Bohr magnetons follow the coordinates.
Fractional positions:
H1 0.0323 0.0323 0.0646  -0.03
S1 0.3208 0.3208 0.6417  -0.08
U1 0.6469 0.6469 0.2938  2.59

DOS at the Fermi energy (states/eV/f.u.): 3.71
Space group: No. 107

| no. | DFT total energy (eV/cell) |
| --- | --- |
| 1 | -48.82 |
| 2 | -25.07 |
| 3 | -15.25 |
| 4 | -57.06 |
| 5 | -83.64 |
| 6 | -79.15 |
| 7 | -55.40 |
| 8 | -47.47 |
| 9 | -23.74 |
| 10 | -33.87 |
| 11 | -22.92 |
| 12 | -20.69 |